(1)
A geometry-optimized ZnBi3Pb12 structure, computed with PBE.

For the density of states at the Fermi level, the calculation gives 7.27 states/eV/cell. The total energy comes out at -3.537 eV/atom. Its crystal system is tetragonal.

It has space group P4/mmm (No. 123), with a = 6.0073 Å, b = 6.0073 Å, c = 13.8351 Å, α = 90.00°, β = 90.00° and γ = 90.00°. The asymmetric unit holds Zn at (0.0000, 0.0000, 0.0000), Bi at (0.0000, 0.0000, 0.2290), Bi at (0.0000, 0.0000, 0.5000), Pb at (0.0000, 0.5000, 0.1205), Pb at (0.0000, 0.5000, 0.3726), Pb at (0.5000, 0.5000, 0.0000), Pb at (0.5000, 0.5000, 0.2511) and Pb at (0.5000, 0.5000, 0.5000).

(2)
A geometry-optimized ZnBiPb structure, computed with PBE.

Its energy above the most stable polymorph in this dataset is 0.0 kJ/mol of atoms. For the density of states at the Fermi level, the calculation gives 5.52 states/eV/cell. Its crystal system is cubic.

It has space group F-43m (No. 216), with a = 7.0711 Å, b = 7.0711 Å, c = 7.0711 Å, α = 90.00°, β = 90.00° and γ = 90.00°. The asymmetric unit holds Zn at (0.0000, 0.0000, 0.0000), Bi at (0.2500, 0.2500, 0.7500) and Pb at (0.2500, 0.2500, 0.2500).

(3)
A geometry-optimized ZnBiPb structure, computed with PBE.

Its energy above the most stable polymorph in this dataset is 4.9 kJ/mol of atoms. For the density of states at the Fermi level, the calculation gives 1.68 states/eV/cell. Its crystal system is trigonal.

It has space group P3m1 (No. 156), with a = 4.4118 Å, b = 4.4118 Å, c = 5.0983 Å, α = 90.00°, β = 90.00° and γ = 120.00°. The asymmetric unit holds Zn at (0.0000, 0.0000, 0.0000), Bi at (0.3333, 0.6667, 0.7608) and Pb at (0.6667, 0.3333, 0.3101).